Density functional theory data (GGA-PBE) for a geometry-optimized LaCo2Ir structure.

Its final energy is -6.69 eV/atom.

Cell: 4.606 4.606 4.606 Å, 60.00 60.00 60.00°
Positions (direct):
La  0.000  0.000  0.000
Co  0.500  0.500  0.500
Co  0.750  0.750  0.750
Ir  0.250  0.250  0.250